# GGA+U Ca2SnWO6, relaxed
data_Ca2SnWO6
_cell_length_a 5.644
_cell_length_b 5.655
_cell_length_c 5.713
_cell_angle_alpha 119.17
_cell_angle_beta 90.17
_cell_angle_gamma 119.60
_space_group_name_H-M_alt 'P 1'
_space_group_IT_number 1
loop_
_space_group_symop_operation_xyz
'x,y,z'
loop_
_atom_site_label
_atom_site_type_symbol
_atom_site_fract_x
_atom_site_fract_y
_atom_site_fract_z
Ca1 Ca 0.000 0.000 0.000
Ca2 Ca 0.496 0.998 0.495
Sn1 Sn 0.226 0.456 0.680
W1 W 0.724 0.454 0.177
O1 O 0.075 0.960 0.404
O2 O 0.372 0.944 0.897
O3 O 0.461 0.532 0.404
O4 O 0.573 0.531 0.906
O5 O 0.875 0.336 0.400
O6 O 0.949 0.334 0.903
# Density of states at the Fermi level   0.000 states/eV per cell
# E   -68.26 eV per formula unit